Density functional theory data (PBE) for crystalline NaAl2In2 at its relaxed geometry.

Properties
Formation enthalpy at 0 K, meV per atom: 34.2
Crystal system: tetragonal

abc: 4.4164 4.4164 12.5663
angles: 90.00 90.00 90.00
Space group I4/mmm (No. 139)
Inequivalent atoms, fractional coordinates:
Na  0.0000  0.0000  0.0000 [2 per cell]
Al  0.0000  0.5000  0.2500 [4 per cell]
In  0.0000  0.0000  0.3880 [4 per cell]